*one*
Below is CsPd2Pb2 after structural relaxation, with properties calculated at the GGA-PBE level.

abc: 8.888 8.888 3.441
angles: 90.00 90.00 90.00
Space group P4/mbm (No. 127)
Asymmetric unit:
Cs 0.000 0.000 0.000 (multiplicity 2)
Pd 0.128 0.372 0.000 (multiplicity 4)
Pb 0.137 0.637 0.500 (multiplicity 4)

Output
total magnetic moment	0.00	μB per cell
density of states at the Fermi level	0.4699	states/eV per atom



*two*
Below is CsPd2Pb2 after structural relaxation, with properties calculated at the GGA-PBE level.

abc: 13.306 4.745 5.128
angles: 90.00 105.68 90.00
Space group C2/m (No. 12)
Asymmetric unit:
Cs 0.000 0.000 0.000 (multiplicity 2)
Pd 0.250 0.000 0.836 (multiplicity 4)
Pb 0.160 0.500 0.601 (multiplicity 4)

Output
total magnetic moment	0.00	μB per cell
density of states at the Fermi level	0.4685	states/eV per atom



Quick look at relative energies in kJ/mol of atoms: *one* 15.9; *two* 0.0.



*one*
Below is Cs2PdPb2 after structural relaxation, with properties calculated at the GGA-PBE level.

abc: 4.391 4.391 23.271
angles: 90.00 90.00 90.00
Space group I4/mmm (No. 139)
Asymmetric unit:
Cs 0.000 0.000 0.088 (multiplicity 4)
Pd 0.000 0.000 0.500 (multiplicity 2)
Pb 0.000 0.500 0.250 (multiplicity 4)

Output
total magnetic moment	0.00	μB per cell
density of states at the Fermi level	0.7329	states/eV per atom



*two*
Below is Cs2PdPb2 after structural relaxation, with properties calculated at the GGA-PBE level.

abc: 7.526 7.526 6.576
angles: 90.00 90.00 90.00
Space group P4/mbm (No. 127)
Asymmetric unit:
Cs 0.182 0.318 0.000 (multiplicity 4)
Pd 0.000 0.000 0.500 (multiplicity 2)
Pb 0.148 0.648 0.500 (multiplicity 4)

Output
total magnetic moment	0.00	μB per cell
density of states at the Fermi level	0.6281	states/eV per atom



Quick look at relative energies in kJ/mol of atoms: *one* 20.9; *two* 0.0.



*one*
Below is Cs2Pd2Pb after structural relaxation, with properties calculated at the GGA-PBE level.

abc: 7.346 7.346 5.978
angles: 90.00 90.00 90.00
Space group P4/mbm (No. 127)
Asymmetric unit:
Cs 0.179 0.321 0.000 (multiplicity 4)
Pd 0.131 0.631 0.500 (multiplicity 4)
Pb 0.000 0.000 0.500 (multiplicity 2)

Output
total magnetic moment	0.00	μB per cell
density of states at the Fermi level	0.7486	states/eV per atom



*two*
Below is Cs2Pd2Pb after structural relaxation, with properties calculated at the GGA-PBE level.

abc: 4.8156 4.8156 33.5603
angles: 90.00 90.00 120.00
Space group R-3m (No. 166, hexagonal axes)
Asymmetric unit:
Cs 0.0000 0.0000 0.0771 (multiplicity 6)
Pd 0.0000 0.0000 0.1784 (multiplicity 6)
Pb 0.0000 0.0000 0.5000 (multiplicity 3)

Output
total magnetic moment	0.00	μB per cell
density of states at the Fermi level	0.6721	states/eV per atom



Quick look at relative energies in kJ/mol of atoms: *one* 22.6; *two* 0.0.



*one*
Below is CsPrPb2 after structural relaxation, with properties calculated at the GGA-PBE level.

abc: 4.327 4.327 8.570
angles: 90.00 90.00 90.00
Space group P4/mmm (No. 123)
Asymmetric unit:
Cs 0.000 0.000 0.000 (multiplicity 1)
Pr 0.000 0.000 0.500 (multiplicity 1)
Pb 0.500 0.500 0.320 (multiplicity 2)

Output
total magnetic moment	0.00	μB per cell
density of states at the Fermi level	0.6477	states/eV per atom



*two*
Below is CsPrPb2 after structural relaxation, with properties calculated at the GGA-PBE level.

abc: 3.8994 3.8994 34.8064
angles: 90.00 90.00 120.00
Space group R-3m (No. 166, hexagonal axes)
Asymmetric unit:
Cs 0.0000 0.0000 0.0000 (multiplicity 3)
Pr 0.0000 0.0000 0.5000 (multiplicity 3)
Pb 0.0000 0.0000 0.2414 (multiplicity 6)

Output
total magnetic moment	0.00	μB per cell
density of states at the Fermi level	0.8035	states/eV per atom



Quick look at relative energies in kJ/mol of atoms: *one* 0.0; *two* 20.4.



*one*
Below is CsPtPb3 after structural relaxation, with properties calculated at the GGA-PBE level.

abc: 9.708 4.770 13.664
angles: 90.00 90.00 90.00
Space group Pnma (No. 62)
Asymmetric unit:
Cs 0.168 0.250 0.005 (multiplicity 4)
Pt 0.070 0.250 0.357 (multiplicity 4)
Pb 0.069 0.250 0.578 (multiplicity 4)
Pb 0.129 0.750 0.227 (multiplicity 4)
Pb 0.138 0.750 0.791 (multiplicity 4)

Output
total magnetic moment	0.00	μB per cell
density of states at the Fermi level	0.2808	states/eV per atom



*two*
Below is CsPtPb3 after structural relaxation, with properties calculated at the GGA-PBE level.

abc: 5.634 5.634 5.634
angles: 90.00 90.00 90.00
Space group Pm-3m (No. 221)
Asymmetric unit:
Cs 0.000 0.000 0.000 (multiplicity 1)
Pt 0.500 0.500 0.500 (multiplicity 1)
Pb 0.000 0.500 0.500 (multiplicity 3)

Output
total magnetic moment	0.00	μB per cell
density of states at the Fermi level	1.4228	states/eV per atom



*three*
Below is CsPtPb3 after structural relaxation, with properties calculated at the GGA-PBE level.

abc: 6.165 6.165 6.165
angles: 90.00 90.00 90.00
Space group Pm-3m (No. 221)
Asymmetric unit:
Cs 0.000 0.000 0.000 (multiplicity 1)
Pt 0.500 0.500 0.500 (multiplicity 1)
Pb 0.000 0.000 0.500 (multiplicity 3)

Output
total magnetic moment	0.00	μB per cell
density of states at the Fermi level	1.5068	states/eV per atom



Quick look at relative energies in kJ/mol of atoms: *one* 0.0; *two* 27.2; *three* 192.1.



*one*
Below is Cs2Pt2Pb after structural relaxation, with properties calculated at the GGA-PBE level.

abc: 7.332 7.332 5.908
angles: 90.00 90.00 90.00
Space group P4/mbm (No. 127)
Asymmetric unit:
Cs 0.177 0.323 0.000 (multiplicity 4)
Pt 0.126 0.626 0.500 (multiplicity 4)
Pb 0.000 0.000 0.500 (multiplicity 2)

Output
total magnetic moment	0.00	μB per cell
density of states at the Fermi level	0.7981	states/eV per atom



*two*
Below is Cs2Pt2Pb after structural relaxation, with properties calculated at the GGA-PBE level.

abc: 11.074 8.279 7.304
angles: 90.00 96.05 90.00
Space group C2/c (No. 15)
Asymmetric unit:
Cs 0.144 0.110 0.091 (multiplicity 8)
Pt 0.147 0.326 0.511 (multiplicity 8)
Pb 0.000 0.483 0.750 (multiplicity 4)

Output
total magnetic moment	0.00	μB per cell
density of states at the Fermi level	0.3465	states/eV per atom



Quick look at relative energies in kJ/mol of atoms: *one* 16.4; *two* 0.0.



*one*
Below is Cs3PtPb after structural relaxation, with properties calculated at the GGA-PBE level.

abc: 6.645 6.645 6.645
angles: 90.00 90.00 90.00
Space group Pm-3m (No. 221)
Asymmetric unit:
Cs 0.000 0.000 0.500 (multiplicity 3)
Pt 0.000 0.000 0.000 (multiplicity 1)
Pb 0.500 0.500 0.500 (multiplicity 1)

Output
total magnetic moment	3.00	μB per cell
density of states at the Fermi level	0.1654	states/eV per atom



*two*
Below is Cs3PtPb after structural relaxation, with properties calculated at the GGA-PBE level.

abc: 7.099 7.099 7.099
angles: 90.00 90.00 90.00
Space group Pm-3m (No. 221)
Asymmetric unit:
Cs 0.000 0.000 0.500 (multiplicity 3)
Pt 0.500 0.500 0.500 (multiplicity 1)
Pb 0.000 0.000 0.000 (multiplicity 1)

Output
total magnetic moment	0.26	μB per cell
density of states at the Fermi level	2.7955	states/eV per atom



Quick look at relative energies in kJ/mol of atoms: *one* 0.0; *two* 43.4.



*one*
Below is CsRbPb after structural relaxation, with properties calculated at the GGA-PBE level.

abc: 8.800 5.078 18.735
angles: 90.00 90.02 90.00
Space group Cm (No. 8)
Asymmetric unit:
Cs 0.000 0.000 0.000 (multiplicity 2)
Cs 0.000 0.000 0.315 (multiplicity 2)
Rb 0.167 0.500 0.551 (multiplicity 2)
Rb 0.334 0.000 0.765 (multiplicity 2)
Pb 0.167 0.500 0.188 (multiplicity 2)
Pb 0.333 0.000 0.127 (multiplicity 2)

Output
total magnetic moment	0.00	μB per cell
density of states at the Fermi level	0.5293	states/eV per atom



*two*
Below is CsRbPb after structural relaxation, with properties calculated at the GGA-PBE level.

abc: 6.5750 6.5750 3.8206
angles: 90.00 90.00 120.00
Space group P3m1 (No. 156)
Asymmetric unit:
Cs 0.0000 0.0000 0.0000 (multiplicity 1)
Rb 0.3333 0.6667 0.8935 (multiplicity 1)
Pb 0.6667 0.3333 0.4614 (multiplicity 1)

Output
total magnetic moment	0.00	μB per cell
density of states at the Fermi level	1.3710	states/eV per atom



*three*
Below is CsRbPb after structural relaxation, with properties calculated at the GGA-PBE level.

abc: 8.9227 8.9227 26.0754
angles: 90.00 90.00 120.00
Space group R3 (No. 146, hexagonal axes)
Asymmetric unit:
Cs 0.0049 0.3840 0.0000 (multiplicity 9)
Rb 0.0856 0.7484 0.8324 (multiplicity 9)
Pb 0.0000 0.0000 0.0643 (multiplicity 3)
Pb 0.0000 0.0000 0.4486 (multiplicity 3)
Pb 0.0000 0.0000 0.5582 (multiplicity 3)

Output
total magnetic moment	0.47	μB per cell
density of states at the Fermi level	0.7477	states/eV per atom



Quick look at relative energies in kJ/mol of atoms: *one* 0.0; *two* 12.5; *three* 10.1.



*one*
Below is CsRb2Pb2 after structural relaxation, with properties calculated at the GGA-PBE level.

abc: 6.180 6.180 14.838
angles: 90.00 90.00 90.00
Space group I4/mmm (No. 139)
Asymmetric unit:
Cs 0.000 0.000 0.000 (multiplicity 2)
Rb 0.000 0.500 0.250 (multiplicity 4)
Pb 0.000 0.000 0.405 (multiplicity 4)

Output
total magnetic moment	0.00	μB per cell
density of states at the Fermi level	0.8635	states/eV per atom



*two*
Below is CsRb2Pb2 after structural relaxation, with properties calculated at the GGA-PBE level.

abc: 6.156 6.156 14.466
angles: 90.00 90.00 90.00
Space group I4/mmm (No. 139)
Asymmetric unit:
Cs 0.000 0.000 0.000 (multiplicity 2)
Rb 0.000 0.000 0.376 (multiplicity 4)
Pb 0.000 0.500 0.250 (multiplicity 4)

Output
total magnetic moment	2.22	μB per cell
density of states at the Fermi level	1.0763	states/eV per atom



Quick look at relative energies in kJ/mol of atoms: *one* 0.0; *two* 25.9.



*one*
Below is CsRb2Pb2 after structural relaxation, with properties calculated at the GGA-PBE level.

abc: 12.827 6.396 12.711
angles: 90.00 97.42 90.00
Space group C2/c (No. 15)
Asymmetric unit:
Cs 0.000 0.250 0.250 (multiplicity 4)
Rb 0.145 0.250 0.609 (multiplicity 8)
Pb 0.162 0.250 0.918 (multiplicity 8)

Output
total magnetic moment	0.00	μB per cell
density of states at the Fermi level	0.9586	states/eV per atom



*two*
Below is CsRb2Pb2 after structural relaxation, with properties calculated at the GGA-PBE level.

abc: 10.516 10.516 4.649
angles: 90.00 90.00 90.00
Space group P4/mbm (No. 127)
Asymmetric unit:
Cs 0.000 0.000 0.000 (multiplicity 2)
Rb 0.185 0.315 0.500 (multiplicity 4)
Pb 0.102 0.602 0.000 (multiplicity 4)

Output
total magnetic moment	0.00	μB per cell
density of states at the Fermi level	0.8155	states/eV per atom



Quick look at relative energies in kJ/mol of atoms: *one* 0.0; *two* 6.7.



*one*
Below is Cs3RbPb after structural relaxation, with properties calculated at the GGA-PBE level.

abc: 7.745 7.745 7.745
angles: 90.00 90.00 90.00
Space group Pm-3m (No. 221)
Asymmetric unit:
Cs 0.000 0.000 0.500 (multiplicity 3)
Rb 0.500 0.500 0.500 (multiplicity 1)
Pb 0.000 0.000 0.000 (multiplicity 1)

Output
total magnetic moment	2.00	μB per cell
density of states at the Fermi level	0.3532	states/eV per atom



*two*
Below is Cs3RbPb after structural relaxation, with properties calculated at the GGA-PBE level.

abc: 8.138 8.138 8.138
angles: 90.00 90.00 90.00
Space group Pm-3m (No. 221)
Asymmetric unit:
Cs 0.000 0.000 0.500 (multiplicity 3)
Rb 0.000 0.000 0.000 (multiplicity 1)
Pb 0.500 0.500 0.500 (multiplicity 1)

Output
total magnetic moment	2.03	μB per cell
density of states at the Fermi level	0.5659	states/eV per atom



Quick look at relative energies in kJ/mol of atoms: *one* 0.0; *two* 40.9.